No. 1
First-principles (GGA-PBE) data for a geometry-optimized HfMg3Au structure, as listed in the Alexandria database.

Summary:
* crystal system: cubic
* calculated volume: 35.20 Å³ per atom
* energy: -0.1664 Ry/atom
* formation energy: 1.340 eV per atom
* space group: Pm-3m (221)
* N(E_F): 1.492 states/eV per atom

a = 5.604 Å, b = 5.604 Å, c = 5.604 Å
α = 90.00°, β = 90.00°, γ = 90.00°
Atoms (fractional coordinates):
1 Hf 0.000 0.000 0.000
2 Mg 0.000 0.000 0.500
3 Mg 0.000 0.500 0.000
4 Mg 0.500 0.000 0.000
5 Au 0.500 0.500 0.500

No. 2
First-principles (GGA-PBE) data for a geometry-optimized Cs3K8Au structure, as listed in the Alexandria database.

Summary:
* crystal system: hexagonal
* calculated volume: 73.53 Å³ per atom
* energy: -0.0923 Ry/atom
* formation energy: -0.038 eV per atom
* space group: P6_3mc (186)
* N(E_F): 0.685 states/eV per atom

a = 14.601 Å, b = 14.601 Å, c = 9.558 Å
α = 90.00°, β = 90.00°, γ = 120.00°
Atoms (fractional coordinates):
1 Cs 0.156 0.312 0.000
2 Cs 0.156 0.844 0.000
3 Cs 0.312 0.156 0.500
4 Cs 0.688 0.844 0.000
5 Cs 0.844 0.156 0.500
6 Cs 0.844 0.688 0.500
7 K 0.000 0.000 0.247
8 K 0.000 0.000 0.747
9 K 0.050 0.525 0.772
10 K 0.229 0.459 0.488
11 K 0.229 0.771 0.488
12 K 0.333 0.667 0.082
13 K 0.459 0.229 0.988
14 K 0.475 0.525 0.772
15 K 0.475 0.950 0.772
16 K 0.525 0.050 0.272
17 K 0.525 0.475 0.272
18 K 0.541 0.771 0.488
19 K 0.667 0.333 0.582
20 K 0.771 0.229 0.988
21 K 0.771 0.541 0.988
22 K 0.950 0.475 0.272
23 Au 0.333 0.667 0.729
24 Au 0.667 0.333 0.229

No. 3
First-principles (GGA-PBE) data for a geometry-optimized Ca5CrH2N4 structure, as listed in the Alexandria database.

Summary:
* crystal system: orthorhombic
* calculated volume: 15.42 Å³ per atom
* energy: -0.4165 Ry/atom
* space group: Amm2 (38)
* N(E_F): 0.353 states/eV per atom

a = 6.890 Å, b = 5.479 Å, c = 5.479 Å
α = 116.53°, β = 90.00°, γ = 90.00°
Atoms (fractional coordinates):
1 Ca 0.000 0.000 0.000
2 Ca 0.273 0.316 0.674
3 Ca 0.273 0.674 0.316
4 Ca 0.727 0.316 0.674
5 Ca 0.727 0.674 0.316
6 Cr 0.500 0.004 0.004
7 H 0.000 0.004 0.559
8 H 0.000 0.559 0.004
9 N 0.291 0.195 0.195
10 N 0.500 0.659 0.973
11 N 0.500 0.973 0.659
12 N 0.709 0.195 0.195

No. 4
First-principles (GGA-PBE) data for a geometry-optimized Cs2BaGeO4 structure, as listed in the Alexandria database.

Summary:
* crystal system: orthorhombic
* calculated volume: 33.67 Å³ per atom
* formation energy (no corrections): -1658.4 meV/atom
* energy: -0.3799 Ry/atom
* space group: Fddd (70)
* N(E_F): 0.000 states/eV per atom

a = 14.942 Å, b = 13.906 Å, c = 7.054 Å
α = 84.19°, β = 67.80°, γ = 28.01°
Atoms (fractional coordinates):
1 Cs 0.070 0.070 0.680
2 Cs 0.320 0.320 0.930
3 Cs 0.680 0.680 0.070
4 Cs 0.930 0.930 0.320
5 Ba 0.125 0.125 0.125
6 Ba 0.875 0.875 0.875
7 Ge 0.375 0.375 0.375
8 Ge 0.625 0.625 0.625
9 O 0.082 0.600 0.491
10 O 0.327 0.491 0.600
11 O 0.400 0.918 0.673
12 O 0.491 0.327 0.082
13 O 0.509 0.673 0.918
14 O 0.600 0.082 0.327
15 O 0.673 0.509 0.400
16 O 0.918 0.400 0.509

Number 4 is which compound? Cs2BaGeO4

Which of these has the highest energy? Cs3K8Au